(1)
Here is a geometry-optimized Th2MgAu3 structure from the Alexandria database. Energies are from GGA-PBE.

a = 4.8835 Å, b = 4.8835 Å, c = 14.0079 Å
α = 90.00°, β = 90.00°, γ = 120.00°
Last column: nearest neighbours and their distance in Å.
Space group P-3m1 (No. 164)
Asymmetric unit:
Th1 0.0000 0.0000 0.0000 [1 per cell]  6 Au 3.08
Th2 0.0000 0.0000 0.5000 [1 per cell]  8 Au 3.12-3.13
Th3 0.3333 0.6667 0.1847 [2 per cell]  7 Au 3.07-3.12
Mg1 0.3333 0.6667 0.6571 [2 per cell]  6 Au 2.94-2.96
Au1 0.0000 0.0000 0.2776 [2 per cell]  3 Mg 2.96, 4 Th 3.11-3.12
Au2 0.3333 0.6667 0.4036 [2 per cell]  3 Mg 2.94, 4 Th 3.07-3.13
Au3 0.3333 0.6667 0.9112 [2 per cell]  6 Th 3.08-3.12

(2)
Here is a geometry-optimized ThMg4Au2 structure from the Alexandria database. Energies are from GGA-PBE.

a = 8.1800 Å, b = 8.1800 Å, c = 4.5686 Å
α = 90.00°, β = 90.00°, γ = 90.00°
Last column: nearest neighbours and their distance in Å.
Space group P4_2/mnm (No. 136)
Asymmetric unit:
Th1 0.0000 0.0000 0.0000 [2 per cell]  6 Au 3.26-3.40, 4 Mg 3.61
Mg1 0.0901 0.3377 0.5000 [8 per cell]  3 Au 2.70-2.81, 1 Mg 2.86
Au1 0.2182 0.7818 0.5000 [4 per cell]  6 Mg 2.70-2.81

(3)
Here is a geometry-optimized Th3Mg2Au6 structure from the Alexandria database. Energies are from GGA-PBE.

a = 4.4915 Å, b = 4.4915 Å, c = 25.5759 Å
α = 90.00°, β = 90.00°, γ = 90.00°
Last column: nearest neighbours and their distance in Å.
Space group I4/mmm (No. 139)
Asymmetric unit:
Th1 0.0000 0.0000 0.0000 [2 per cell]  8 Mg 3.46, 8 Au 3.54
Th2 0.0000 0.0000 0.1960 [4 per cell]  9 Au 3.00-3.19
Mg1 0.0000 0.0000 0.4461 [4 per cell]  4 Au 2.63, 1 Mg 2.76
Au1 0.0000 0.0000 0.3133 [4 per cell]  5 Th 3.00-3.18, 4 Au 3.03
Au2 0.0000 0.5000 0.1072 [8 per cell]  2 Mg 2.63

(4)
Here is a geometry-optimized Th3Mg4Au4 structure from the Alexandria database. Energies are from GGA-PBE.

a = 4.4014 Å, b = 7.8416 Å, c = 14.8610 Å
α = 90.00°, β = 90.00°, γ = 90.00°
Last column: nearest neighbours and their distance in Å.
Space group Immm (No. 71)
Asymmetric unit:
Th1 0.0000 0.0000 0.0000 [2 per cell]  6 Au 3.17-3.39
Th2 0.0000 0.5000 0.1101 [4 per cell]  6 Au 3.20-3.26, 1 Th 3.27, 6 Mg 3.42-3.50
Mg1 0.0000 0.3087 0.3228 [8 per cell]  4 Au 2.75-2.80, 1 Mg 3.00
Au1 0.0000 0.0000 0.2280 [4 per cell]  6 Mg 2.77-2.80
Au2 0.0000 0.2093 0.5000 [4 per cell]  2 Mg 2.75

(5)
Here is a geometry-optimized ThMg2Au3 structure from the Alexandria database. Energies are from GGA-PBE.

a = 4.7496 Å, b = 4.7496 Å, c = 13.0766 Å
α = 90.00°, β = 90.00°, γ = 120.00°
Last column: nearest neighbours and their distance in Å.
Space group P-3m1 (No. 164)
Asymmetric unit:
Th1 0.3333 0.6667 0.1757 [2 per cell]  8 Au 3.09-3.19
Mg1 0.0000 0.0000 0.0000 [1 per cell]  6 Au 2.86
Mg2 0.0000 0.0000 0.5000 [1 per cell]  8 Au 2.81-2.94
Mg3 0.3333 0.6667 0.6418 [2 per cell]  7 Au 2.86-2.91
Au1 0.0000 0.0000 0.2847 [2 per cell]  4 Mg 2.81-2.91, 3 Th 3.09
Au2 0.3333 0.6667 0.4199 [2 per cell]  7 Mg 2.86-2.94, 1 Th 3.19
Au3 0.3333 0.6667 0.9383 [2 per cell]  3 Mg 2.86, 4 Th 3.10-3.12, 3 Au 3.18

(6)
Here is a geometry-optimized ThMg2Au2 structure from the Alexandria database. Energies are from GGA-PBE.

a = 4.1729 Å, b = 4.1729 Å, c = 12.9406 Å
α = 90.00°, β = 90.00°, γ = 90.00°
Last column: nearest neighbours and their distance in Å.
Space group I4/mmm (No. 139)
Asymmetric unit:
Th1 0.0000 0.0000 0.0000 [2 per cell]  8 Au 3.27
Mg1 0.0000 0.5000 0.2500 [4 per cell]  4 Au 2.78, 4 Mg 2.95
Au1 0.0000 0.0000 0.3914 [4 per cell]  4 Mg 2.78, 1 Au 2.81

## Properties
E above lowest polymorph (meV/atom): 0

(7)
Here is a geometry-optimized Th2Mg3Au3 structure from the Alexandria database. Energies are from GGA-PBE.

a = 8.2578 Å, b = 8.2578 Å, c = 6.8059 Å
α = 90.00°, β = 90.00°, γ = 120.00°
Last column: nearest neighbours and their distance in Å.
Space group P6_3/mcm (No. 193)
Asymmetric unit:
Th1 0.3333 0.6667 0.0000 [4 per cell]  6 Au 3.10, 2 Th 3.40
Mg1 0.0000 0.2473 0.2500 [6 per cell]  2 Au 2.75
Au1 0.0000 0.3780 0.7500 [6 per cell]  2 Mg 2.75

(8)
Here is a geometry-optimized ThMg3Au4 structure from the Alexandria database. Energies are from GGA-PBE.

a = 4.6489 Å, b = 4.6489 Å, c = 26.3804 Å
α = 90.00°, β = 90.00°, γ = 120.00°
Last column: nearest neighbours and their distance in Å.
Space group R-3m (No. 166, hexagonal axes)
Asymmetric unit:
Th1 0.0000 0.0000 0.0000 [3 per cell]  8 Au 3.10-3.34
Mg1 0.0000 0.0000 0.2386 [6 per cell]  7 Au 2.81-2.96
Mg2 0.0000 0.0000 0.5000 [3 per cell]  8 Au 2.84-2.89
Au1 0.0000 0.0000 0.1266 [6 per cell]  7 Mg 2.81-2.96
Au2 0.0000 0.0000 0.3923 [6 per cell]  4 Mg 2.84, 3 Th 3.10

(9)
Here is a geometry-optimized TmThMg2Au4 structure from the Alexandria database. Energies are from GGA-PBE.

a = 4.8606 Å, b = 4.8606 Å, c = 25.2809 Å
α = 90.00°, β = 90.00°, γ = 120.00°
Last column: nearest neighbours and their distance in Å.
Space group R-3m (No. 166, hexagonal axes)
Asymmetric unit:
Tm1 0.0000 0.0000 0.0000 [3 per cell]  8 Au 2.92-3.00
Th1 0.0000 0.0000 0.5000 [3 per cell]  8 Au 3.09-3.15
Mg1 0.0000 0.0000 0.2548 [6 per cell]  7 Au 2.96-3.05
Au1 0.0000 0.0000 0.1157 [6 per cell]  1 Tm 2.92, 3 Mg 2.96, 3 Th 3.09
Au2 0.0000 0.0000 0.3752 [6 per cell]  4 Mg 2.96-3.05, 3 Tm 3.00, 1 Th 3.15

(10)
Here is a geometry-optimized TmThMgAu structure from the Alexandria database. Energies are from GGA-PBE.

a = 7.4254 Å, b = 7.4254 Å, c = 7.4254 Å
α = 90.00°, β = 90.00°, γ = 90.00°
Last column: nearest neighbours and their distance in Å.
Space group F-43m (No. 216)
Asymmetric unit:
Tm1 0.0000 0.0000 0.0000 [4 per cell]  4 Mg 3.22, 4 Au 3.22
Th1 0.0000 0.0000 0.5000 [4 per cell]  4 Mg 3.22, 4 Au 3.22
Mg1 0.2500 0.2500 0.2500 [4 per cell]  4 Th 3.22, 4 Tm 3.22
Au1 0.2500 0.2500 0.7500 [4 per cell]  4 Th 3.22, 4 Tm 3.22

(11)
Here is a geometry-optimized Tm2ThMgAu4 structure from the Alexandria database. Energies are from GGA-PBE.

a = 4.9290 Å, b = 4.9290 Å, c = 25.7889 Å
α = 90.00°, β = 90.00°, γ = 120.00°
Last column: nearest neighbours and their distance in Å.
Space group R-3m (No. 166, hexagonal axes)
Asymmetric unit:
Tm1 0.0000 0.0000 0.2406 [6 per cell]  7 Au 2.96-3.02
Th1 0.0000 0.0000 0.0000 [3 per cell]  8 Au 3.17-3.19
Mg1 0.0000 0.0000 0.5000 [3 per cell]  8 Au 2.90-3.05
Au1 0.0000 0.0000 0.1237 [6 per cell]  4 Tm 2.96-3.02, 3 Mg 3.05, 1 Th 3.19
Au2 0.0000 0.0000 0.3874 [6 per cell]  1 Mg 2.90, 3 Tm 3.02, 3 Th 3.17

(12)
Here is a geometry-optimized Th3MgZn6Au2 structure from the Alexandria database. Energies are from GGA-PBE.

a = 5.8928 Å, b = 5.8928 Å, c = 8.6134 Å
α = 90.00°, β = 90.00°, γ = 120.00°
Last column: nearest neighbours and their distance in Å.
Space group P-3m1 (No. 164)
Asymmetric unit:
Th1 0.0000 0.0000 0.0000 [1 per cell]  6 Zn 3.03
Th2 0.3333 0.6667 0.6118 [2 per cell]  9 Zn 3.11-3.27, 1 Au 3.31
Mg1 0.0000 0.0000 0.5000 [1 per cell]  6 Zn 2.71
Zn1 0.1856 0.3711 0.2745 [6 per cell]  2 Zn 2.61, 1 Mg 2.71, 1 Au 2.83
Au1 0.3333 0.6667 0.9964 [2 per cell]  3 Zn 2.83

no.,formation enthalpy at 0 K (eV/atom),DFT total energy (eV per atom)
1,-0.62,-4.99
2,-0.43,-3.34
3,-0.44,-4.54
4,-0.53,-4.32
5,-0.64,-4.05
6,-0.54,-3.97
7,-0.45,-4.14
8,-0.63,-3.79
9,-0.73,-4.25
10,-0.26,-4.45
11,-0.73,-4.62
12,-0.15,-3.32